The following is a PBE+U calculation of an optimized crystal structure of SrNpVO6, from Alexandria.

Calculated values
SG: P312 (149)
Volume: 15.1 A^3/atom
M_tot: 2.0 μB/cell
Energy: -8.41 eV/atom

Geometry as extended XYZ:
```
9
Lattice="-0.3485 5.2315 1.3365 -3.5425 3.2098 -2.5347 -3.6997 -1.1844 3.6714" Properties=species:S:1:pos:R:3 pbc="T T T"
Sr -4.0482 4.0470 5.0078
Np -3.1468 2.2215 1.4362
V -4.4438 5.0351 1.0368
O -2.7879 6.0209 1.4536
O -6.2219 4.3143 0.5824
O -4.1586 3.7071 2.4661
O -5.1906 6.3672 2.2841
O -3.4858 3.6660 -0.0096
O -4.8184 6.1358 -0.5559
```